Density functional theory data (PBE-GGA) for an optimized crystal structure of BaAcTlSn.

Cell and atoms, written as CIF:
```
data_BaAcTlSn
_cell_length_a 5.920
_cell_length_b 5.920
_cell_length_c 5.920
_cell_angle_alpha 60.00
_cell_angle_beta 60.00
_cell_angle_gamma 60.00
_space_group_name_H-M_alt 'P 1'
_space_group_IT_number 1
_space_group_name_Hall 'P 1'
loop_
_atom_site_label
_atom_site_fract_x
_atom_site_fract_y
_atom_site_fract_z
Ba1 0.250 0.250 0.250
Tl1 0.000 0.000 0.000
Sn1 0.500 0.500 0.500
Ac1 0.750 0.750 0.750
```

Values from the calculation:
**Magnetic moment**: 0.00 μB per formula unit
**Energy above the lowest structure with this stoichiometry**: 0.060 eV per atom
**Calculated density**: 7.783 Mg/m³
**Energy of formation from the pure elements**: -0.4612 eV per atom